## Al2CdBr (PBE-GGA)

Data for an optimized crystal structure of Al2CdBr.

Values from the calculation:
crystal system	tetragonal
formation energy from raw total energies	0.15	eV/atom
space group	P4/mmm, No. 123
polymorph energy (0 for the lowest one)	105.8	meV/atom

Unit cell a=5.2902 b=5.2902 c=3.2504 alpha=90.00 beta=90.00 gamma=90.00
Last column: nearest neighbours and their distance in Å.
Fractional positions:
1 Br 0.5000 0.0000 0.5000  8 Al 3.10, 2 Br 3.25
2 Cd 0.0000 0.5000 0.5000  8 Al 3.10, 2 Cd 3.25
3 Al 0.5000 0.5000 0.0000  4 Cd 3.10, 4 Br 3.10, 2 Al 3.25
4 Al 0.0000 0.0000 0.0000  4 Cd 3.10, 4 Br 3.10, 2 Al 3.25